1.
! CeEr4Tm6 (GGA-PBE, relaxed); values from VASP
! * ΔE_f: 0.5008 eV per atom
! * DFT total energy: -4.1369 eV/atom
&SYSTEM
  ibrav = 0, nat = 11, ntyp = 3
/
ATOMIC_SPECIES
Ce 140.12 Ce.upf
Er 167.26 Er.upf
Tm 168.93 Tm.upf
ATOMIC_POSITIONS crystal
Ce 0.500 0.500 0.000
Er 0.090 0.759 0.849
Er 0.910 0.910 0.151
Er 0.759 0.090 0.849
Er 0.241 0.241 0.151
Tm 0.934 0.434 0.368
Tm 0.434 0.934 0.368
Tm 0.566 0.566 0.632
Tm 0.000 0.500 0.000
Tm 0.066 0.066 0.632
Tm 0.500 0.000 0.000
CELL_PARAMETERS angstrom
-5.108 3.610 -4.341
-0.703 -6.216 -4.341
-1.807 -0.810 8.130

***

2.
! CeEr3Tm2 (GGA-PBE, relaxed); values from VASP
! * ΔE_f: 0.0600 eV per atom
! * DFT total energy: -4.7010 eV/atom
! * energy above the most stable polymorph in this dataset: 0.00 eV per formula unit
&SYSTEM
  ibrav = 0, nat = 12, ntyp = 3
/
ATOMIC_SPECIES
Ce 140.12 Ce.upf
Er 167.26 Er.upf
Tm 168.93 Tm.upf
ATOMIC_POSITIONS crystal
Ce 0.500 0.000 0.500
Ce 0.000 0.000 0.000
Er 0.750 0.500 0.250
Er 0.250 0.500 0.750
Er 0.915 0.165 0.750
Er 0.585 0.835 0.750
Er 0.085 0.835 0.250
Er 0.415 0.165 0.250
Tm 0.667 0.667 0.000
Tm 0.833 0.332 0.500
Tm 0.167 0.668 0.500
Tm 0.333 0.333 0.000
CELL_PARAMETERS angstrom
-2.474 4.941 7.431
2.474 -4.941 7.431
2.474 4.941 -7.431

***

3.
! CeEr6Tm (GGA-PBE, relaxed); values from VASP
! * ΔE_f: 0.2283 eV per atom
! * DFT total energy: -4.4946 eV/atom
! * energy above the most stable polymorph in this dataset: 0.51 eV per formula unit
&SYSTEM
  ibrav = 0, nat = 8, ntyp = 3
/
ATOMIC_SPECIES
Ce 140.12 Ce.upf
Er 167.26 Er.upf
Tm 168.93 Tm.upf
ATOMIC_POSITIONS crystal
Ce 0.000 0.500 0.000
Er 0.096 0.731 0.480
Er 0.572 0.768 0.522
Er 0.428 0.232 0.478
Er 0.904 0.269 0.520
Er 0.552 0.750 0.001
Er 0.448 0.250 0.999
Tm 0.000 0.000 0.000
CELL_PARAMETERS angstrom
6.276 -0.192 2.324
0.468 6.387 -0.605
1.023 -0.913 6.665

***

4.
! CeEr2Tm12 (GGA-PBE, relaxed); values from VASP
! * ΔE_f: 0.3554 eV per atom
! * DFT total energy: -4.2258 eV/atom
&SYSTEM
  ibrav = 0, nat = 30, ntyp = 3
/
ATOMIC_SPECIES
Ce 140.12 Ce.upf
Er 167.26 Er.upf
Tm 168.93 Tm.upf
ATOMIC_POSITIONS crystal
Ce 0.500 0.000 0.000
Ce 0.000 0.500 0.000
Er 0.500 0.000 0.277
Er 0.000 0.500 0.277
Er 0.000 0.500 0.723
Er 0.500 0.000 0.723
Tm 0.500 0.500 0.784
Tm 0.000 0.000 0.784
Tm 0.817 0.683 0.882
Tm 0.317 0.817 0.882
Tm 0.000 0.000 0.341
Tm 0.183 0.683 0.118
Tm 0.831 0.331 0.560
Tm 0.500 0.500 0.341
Tm 0.183 0.317 0.882
Tm 0.683 0.817 0.118
Tm 0.331 0.169 0.560
Tm 0.669 0.169 0.440
Tm 0.000 0.000 0.659
Tm 0.169 0.331 0.440
Tm 0.317 0.183 0.118
Tm 0.831 0.669 0.440
Tm 0.669 0.831 0.560
Tm 0.000 0.000 0.216
Tm 0.169 0.669 0.560
Tm 0.500 0.500 0.659
Tm 0.683 0.183 0.882
Tm 0.500 0.500 0.216
Tm 0.331 0.831 0.440
Tm 0.817 0.317 0.118
CELL_PARAMETERS angstrom
-4.482 4.409 0.510
-4.316 -4.160 -1.961
-4.060 -6.841 23.442

***

5.
! CeEr10Tm6 (GGA-PBE, relaxed); values from VASP
! * ΔE_f: 0.1513 eV per atom
! * DFT total energy: -4.4599 eV/atom
&SYSTEM
  ibrav = 0, nat = 17, ntyp = 3
/
ATOMIC_SPECIES
Ce 140.12 Ce.upf
Er 167.26 Er.upf
Tm 168.93 Tm.upf
ATOMIC_POSITIONS crystal
Ce 0.500 0.000 0.000
Er 0.818 0.725 0.725
Er 0.818 0.000 0.275
Er 0.818 0.275 0.000
Er 0.182 0.275 0.275
Er 0.182 0.000 0.725
Er 0.182 0.725 0.000
Er 0.500 0.333 0.667
Er 0.500 0.667 0.333
Er 0.000 0.667 0.333
Er 0.000 0.333 0.667
Tm 0.695 0.376 0.376
Tm 0.695 0.000 0.624
Tm 0.695 0.624 0.000
Tm 0.305 0.624 0.624
Tm 0.305 0.000 0.376
Tm 0.305 0.376 0.000
CELL_PARAMETERS angstrom
6.715 0.000 0.000
0.000 8.244 -4.760
0.000 0.000 9.519

***

6.
! Ce2Er12Tm5 (GGA-PBE, relaxed); values from VASP
! * ΔE_f: 0.1383 eV per atom
! * DFT total energy: -4.5448 eV/atom
! * energy above the most stable polymorph in this dataset: 0.00 eV per formula unit
&SYSTEM
  ibrav = 0, nat = 19, ntyp = 3
/
ATOMIC_SPECIES
Ce 140.12 Ce.upf
Er 167.26 Er.upf
Tm 168.93 Tm.upf
ATOMIC_POSITIONS crystal
Ce 0.775 0.225 0.000
Ce 0.225 0.775 0.000
Er 0.120 0.120 0.997
Er 0.055 0.545 0.206
Er 0.545 0.055 0.206
Er 0.146 0.649 0.616
Er 0.649 0.146 0.616
Er 0.440 0.440 0.279
Er 0.560 0.560 0.721
Er 0.854 0.351 0.384
Er 0.351 0.854 0.384
Er 0.945 0.455 0.794
Er 0.455 0.945 0.794
Er 0.880 0.880 0.003
Tm 0.214 0.214 0.447
Tm 0.324 0.324 0.862
Tm 0.000 0.000 0.500
Tm 0.676 0.676 0.138
Tm 0.786 0.786 0.553
CELL_PARAMETERS angstrom
5.730 8.437 -2.191
-5.730 8.437 -2.191
0.000 2.789 5.336

***

7.
! CeEr6Tm8 (GGA-PBE, relaxed); values from VASP
! * ΔE_f: 0.1347 eV per atom
! * DFT total energy: -4.4708 eV/atom
! * energy above the most stable polymorph in this dataset: 0.00 eV per formula unit
&SYSTEM
  ibrav = 0, nat = 15, ntyp = 3
/
ATOMIC_SPECIES
Ce 140.12 Ce.upf
Er 167.26 Er.upf
Tm 168.93 Tm.upf
ATOMIC_POSITIONS crystal
Ce 0.000 0.000 0.000
Er 0.460 0.891 0.875
Er 0.109 0.226 0.125
Er 0.226 0.540 0.125
Er 0.774 0.460 0.875
Er 0.891 0.774 0.875
Er 0.540 0.109 0.125
Tm 0.718 0.111 0.421
Tm 0.889 0.251 0.579
Tm 0.251 0.282 0.579
Tm 0.577 0.577 0.269
Tm 0.423 0.423 0.731
Tm 0.749 0.718 0.421
Tm 0.111 0.749 0.421
Tm 0.282 0.889 0.579
CELL_PARAMETERS angstrom
8.882 0.000 0.000
4.441 7.692 0.000
4.441 2.564 6.757

***

8.
! CeEr8Tm4 (GGA-PBE, relaxed); values from VASP
! * ΔE_f: 0.5705 eV per atom
! * DFT total energy: -4.0697 eV/atom
&SYSTEM
  ibrav = 0, nat = 13, ntyp = 3
/
ATOMIC_SPECIES
Ce 140.12 Ce.upf
Er 167.26 Er.upf
Tm 168.93 Tm.upf
ATOMIC_POSITIONS crystal
Ce 0.500 0.500 0.500
Er 0.744 0.744 0.744
Er 0.256 0.256 0.256
Er 0.261 0.261 0.844
Er 0.156 0.739 0.739
Er 0.739 0.739 0.156
Er 0.739 0.156 0.739
Er 0.261 0.844 0.261
Er 0.844 0.261 0.261
Tm 0.000 0.000 0.000
Tm 0.500 0.500 0.000
Tm 0.500 0.000 0.500
Tm 0.000 0.500 0.500
CELL_PARAMETERS angstrom
6.375 -4.622 -0.718
6.375 4.622 -0.718
3.881 0.000 6.889

***

9.
! CeEr2Tm8 (GGA-PBE, relaxed); values from VASP
! * ΔE_f: 0.1720 eV per atom
! * DFT total energy: -4.4490 eV/atom
! * energy above the most stable polymorph in this dataset: 0.47 eV per formula unit
&SYSTEM
  ibrav = 0, nat = 11, ntyp = 3
/
ATOMIC_SPECIES
Ce 140.12 Ce.upf
Er 167.26 Er.upf
Tm 168.93 Tm.upf
ATOMIC_POSITIONS crystal
Ce 0.000 0.000 0.000
Er 0.752 0.284 0.284
Er 0.248 0.716 0.716
Tm 0.266 0.133 0.601
Tm 0.266 0.601 0.133
Tm 0.734 0.867 0.399
Tm 0.239 0.547 0.547
Tm 0.734 0.399 0.867
Tm 0.235 0.187 0.187
Tm 0.765 0.813 0.813
Tm 0.761 0.453 0.453
CELL_PARAMETERS angstrom
-1.043 -3.361 4.170
8.875 -4.293 -1.802
9.649 0.882 2.562

***

10.
! CeEr3Tm (GGA-PBE, relaxed); values from VASP
! * ΔE_f: 0.1536 eV per atom
! * DFT total energy: -4.6652 eV/atom
! * energy above the most stable polymorph in this dataset: 0.00 eV per formula unit
&SYSTEM
  ibrav = 0, nat = 20, ntyp = 3
/
ATOMIC_SPECIES
Ce 140.12 Ce.upf
Er 167.26 Er.upf
Tm 168.93 Tm.upf
ATOMIC_POSITIONS crystal
Ce 0.544 0.283 0.191
Ce 0.044 0.191 0.283
Ce 0.956 0.809 0.717
Ce 0.456 0.717 0.809
Er 0.381 0.301 0.501
Er 0.552 0.118 0.742
Er 0.881 0.501 0.301
Er 0.119 0.499 0.699
Er 0.821 0.976 0.418
Er 0.052 0.742 0.118
Er 0.619 0.699 0.499
Er 0.948 0.258 0.882
Er 0.448 0.882 0.258
Er 0.321 0.418 0.976
Er 0.179 0.024 0.582
Er 0.679 0.582 0.024
Tm 0.750 0.400 0.600
Tm 0.250 0.011 0.989
Tm 0.750 0.989 0.011
Tm 0.250 0.600 0.400
CELL_PARAMETERS angstrom
9.300 -2.285 -2.204
0.480 8.184 -2.205
0.480 -1.911 8.258

***

11.
! CeEr2Tm6 (GGA-PBE, relaxed); values from VASP
! * ΔE_f: 0.0902 eV per atom
! * DFT total energy: -4.5641 eV/atom
&SYSTEM
  ibrav = 0, nat = 18, ntyp = 3
/
ATOMIC_SPECIES
Ce 140.12 Ce.upf
Er 167.26 Er.upf
Tm 168.93 Tm.upf
ATOMIC_POSITIONS crystal
Ce 0.750 0.250 0.250
Ce 0.250 0.750 0.750
Er 0.314 0.477 0.323
Er 0.523 0.686 0.177
Er 0.686 0.523 0.677
Er 0.477 0.314 0.823
Tm 0.188 0.351 0.511
Tm 0.649 0.812 0.989
Tm 0.812 0.649 0.489
Tm 0.351 0.188 0.011
Tm 0.085 0.587 0.916
Tm 0.413 0.915 0.584
Tm 0.915 0.413 0.084
Tm 0.587 0.085 0.416
Tm 0.144 0.977 0.156
Tm 0.023 0.856 0.344
Tm 0.856 0.023 0.844
Tm 0.977 0.144 0.656
CELL_PARAMETERS angstrom
-3.453 2.911 4.639
-5.113 -1.059 -3.828
4.785 -12.931 5.126

***

12.
! CeEr4Tm3 (GGA-PBE, relaxed); values from VASP
! * ΔE_f: 0.0417 eV per atom
! * DFT total energy: -4.6582 eV/atom
! * energy above the most stable polymorph in this dataset: 0.11 eV per formula unit
&SYSTEM
  ibrav = 0, nat = 8, ntyp = 3
/
ATOMIC_SPECIES
Tm 168.93 Tm.upf
Ce 140.12 Ce.upf
Er 167.26 Er.upf
ATOMIC_POSITIONS crystal
Tm 0.000 0.500 0.000
Tm 0.876 0.628 0.250
Tm 0.124 0.372 0.750
Ce 0.500 0.000 0.000
Er 0.247 0.251 0.498
Er 0.753 0.749 0.502
Er 0.373 0.123 0.249
Er 0.627 0.877 0.751
CELL_PARAMETERS angstrom
-0.931 1.706 -2.899
-5.841 -1.063 1.208
-0.156 6.958 10.543

***

Q: DFT total energy of number 7 (CeEr6Tm8)?
A: -4.4708 eV/atom

***

Q: Which value of DFT total energy does entry 2 give?
A: -4.7010 eV/atom

***

Q: Look up the DFT total energy of the eleventh one.
A: -4.5641 eV/atom